1.
Compound: HfZrSeN2
Source: Alexandria
Functional: PBE
Structure: optimized geometry

```
HfZrSeN2
1.0
4.137 0.000 0.000
0.000 4.137 0.000
0.000 0.000 5.225
Hf N Zr Se
1 2 1 1
Direct
0.500 0.500 0.500
0.500 0.000 0.000
0.000 0.500 0.000
0.000 0.000 0.000
0.000 0.000 0.500
```

Calculated values
The value obtained for the volume is 17.89 Å³ per atom. Its space group is P4/mmm (123). Its total energy is -7.622 eV per atom. Its formation energy (no corrections) is 105 meV/atom.



2.
Compound: Ca2ScCrSb
Source: Alexandria
Functional: PBE
Structure: optimized geometry

```
Ca2ScCrSb
1.0
-3.277 -3.703 2.163
3.346 -0.916 3.500
-2.228 3.796 3.124
Sc Ca Cr Sb
1 2 1 1
Direct
0.000 0.500 0.000
0.500 0.000 0.000
0.000 0.000 0.500
0.000 0.000 0.000
0.500 0.500 0.500
```

Calculated values
The value obtained for the volume is 28.71 Å³ per atom. Its space group is P4/mmm (123). Its total energy is -4.473 eV per atom. Its formation energy (no corrections) is 344 meV/atom.



3.
Compound: TlCl3
Source: Alexandria
Functional: PBE
Structure: optimized geometry

```
TlCl3
1.0
3.490 0.000 3.660
-1.745 3.023 3.660
-1.745 -3.023 3.660
Cl Tl
3 1
Direct
0.290 0.290 0.290
0.500 0.500 0.500
0.710 0.710 0.710
0.000 0.000 0.000
```

Calculated values
The value obtained for the volume is 28.96 Å³ per atom. Its space group is R-3m (166). Its total energy is -2.460 eV per atom. Its formation energy (no corrections) is -483 meV/atom.



4.
Compound: Sc3TiAl
Source: Alexandria
Functional: PBE
Structure: optimized geometry

```
Sc3TiAl
1.0
5.083 0.000 0.000
0.000 5.083 0.000
0.000 0.000 5.083
Sc Al Ti
3 1 1
Direct
0.000 0.000 0.500
0.000 0.500 0.000
0.500 0.000 0.000
0.000 0.000 0.000
0.500 0.500 0.500
```

Calculated values
The value obtained for the volume is 26.26 Å³ per atom. Its space group is Pm-3m (221). Its total energy is -5.432 eV per atom.



5.
Compound: MgPtBr
Source: Alexandria
Functional: PBE
Structure: optimized geometry

```
MgPtBr
1.0
-3.213 -0.573 -0.548
2.147 -0.073 -2.517
0.968 -6.390 1.012
Br Pt Mg
1 1 1
Direct
0.000 0.000 0.056
0.667 0.333 0.616
0.333 0.667 0.328
```

Calculated values
The value obtained for the volume is 20.68 Å³ per atom. Its space group is P3m1 (156). Its total energy is -3.502 eV per atom. Its formation energy (no corrections) is -399 meV/atom.



6.
Compound: Tl3BO4
Source: Alexandria
Functional: PBE
Structure: optimized geometry

```
Tl3BO4
1.0
-0.896 5.334 0.853
-0.960 -2.050 -4.986
-3.346 -3.578 2.447
Tl O B
3 4 1
Direct
0.015 0.000 0.015
0.547 0.766 0.313
0.547 0.234 0.781
0.637 0.279 0.358
0.156 0.666 0.822
0.156 0.334 0.490
0.079 0.721 0.358
0.014 0.500 0.514
```

Calculated values
The value obtained for the volume is 14.88 Å³ per atom. Its space group is Imm2 (44). Its total energy is -5.186 eV per atom. Its formation energy (no corrections) is -985 meV/atom.



7.
Compound: LiTl2Hg
Source: Alexandria
Functional: PBE
Structure: optimized geometry

```
LiTl2Hg
1.0
-0.180 -3.003 -2.273
3.767 -0.156 -0.092
-0.039 -4.240 5.605
Tl Hg Li
2 1 1
Direct
0.000 0.000 0.513
0.000 0.000 0.987
0.500 0.500 0.250
0.500 0.500 0.750
```

Calculated values
The value obtained for the volume is 24.98 Å³ per atom. Its space group is P4/mmm (123). Its total energy is -1.822 eV per atom.



8.
Compound: Cs3NdPa2O9
Source: Alexandria
Functional: PBE
Structure: optimized geometry

```
Cs3NdPa2O9
1.0
6.410 0.000 0.000
-3.205 5.552 0.000
0.000 0.000 7.832
O Cs Pa Nd
9 3 2 1
Direct
0.000 0.500 0.000
0.353 0.177 0.679
0.177 0.353 0.321
0.823 0.647 0.679
0.500 0.500 0.000
0.647 0.823 0.321
0.823 0.177 0.679
0.177 0.823 0.321
0.500 0.000 0.000
0.333 0.667 0.664
0.667 0.333 0.336
0.000 0.000 0.000
0.667 0.333 0.835
0.333 0.667 0.165
0.000 0.000 0.500
```

Calculated values
The value obtained for the volume is 18.58 Å³ per atom. Its space group is P-3m1 (164). Its total energy is -7.396 eV per atom. Its formation energy (no corrections) is -2667 meV/atom.



9.
Compound: LiCo2PdN
Source: Alexandria
Functional: PBE
Structure: optimized geometry

```
LiCo2PdN
1.0
-2.810 -0.681 -2.229
1.777 -2.885 -1.359
-1.784 -2.521 3.019
Pd Co Li N
1 2 1 1
Direct
0.000 0.000 0.500
0.500 0.000 0.000
0.000 0.500 0.000
0.500 0.500 0.500
0.000 0.000 0.000
```

Calculated values
The value obtained for the volume is 11.51 Å³ per atom. Its space group is P4/mmm (123). Its total energy is -5.982 eV per atom. Its formation energy (no corrections) is -53 meV/atom.



10.
Compound: LaBeRe2
Source: Alexandria
Functional: PBE
Structure: optimized geometry

```
LaBeRe2
1.0
3.083 0.000 0.000
0.000 3.083 0.000
0.000 0.000 7.380
Re Be La
2 1 1
Direct
0.500 0.500 0.264
0.000 0.000 0.069
0.000 0.000 0.420
0.500 0.500 0.747
```

Calculated values
The value obtained for the volume is 17.53 Å³ per atom. Its space group is P4mm (99). Its total energy is -8.275 eV per atom.



11.
Compound: Be3AgPb
Source: Alexandria
Functional: PBE
Structure: optimized geometry

```
Be3AgPb
1.0
4.458 0.000 0.000
0.000 4.458 0.000
0.000 0.000 4.458
Pb Be Ag
1 3 1
Direct
0.500 0.500 0.500
0.000 0.000 0.500
0.500 0.000 0.000
0.000 0.500 0.000
0.000 0.000 0.000
```

Calculated values
The value obtained for the volume is 17.72 Å³ per atom. Its space group is Pm-3m (221). Its total energy is -2.786 eV per atom.



12.
Compound: Sc2CoHg
Source: Alexandria
Functional: PBE
Structure: optimized geometry

```
Sc2CoHg
1.0
2.037 0.000 8.895
-1.018 1.764 8.895
-1.018 -1.764 8.895
Sc Hg Co
2 1 1
Direct
0.886 0.886 0.886
0.114 0.114 0.114
0.000 0.000 0.000
0.500 0.500 0.500
```

Calculated values
The value obtained for the volume is 23.96 Å³ per atom. Its space group is R-3m (166). Its total energy is -5.036 eV per atom.